Entry 1:
# SrCrRe2

Crystalline SrCrRe2 at its relaxed geometry (GGA-PBE, the Alexandria database).

Crystal system: orthorhombic
Total moment, μB/f.u.: 0.00
Energy of formation from the pure elements, eV per formula unit: 3.11
Uncorrected energy, eV per cell: -66.2

The structure in POSCAR format:
```
SrCrRe2
1.0
3.179 0.000 0.000
0.000 4.519 0.000
0.000 0.000 9.456
Sr Cr Re
2 2 4
direct
0.000 0.000 0.000
0.500 0.500 0.000
0.000 0.000 0.500
0.500 0.500 0.500
0.000 0.500 0.294
0.000 0.500 0.706
0.500 0.000 0.294
0.500 0.000 0.706
```



Entry 2:
# Sm6SiAs2Se3

Crystalline Sm6SiAs2Se3 at its relaxed geometry (GGA-PBE, the Alexandria database).

Crystal system: monoclinic
Total moment, μB/f.u.: 0.00
Energy relative to the elements, uncorrected, eV per atom: -1.607
Uncorrected energy, eV per cell: -72.8

The structure in POSCAR format:
```
Sm6SiAs2Se3
1.0
9.185 -2.101 0.000
9.185 2.101 0.000
-1.970 0.000 8.188
Sm Si As Se
6 1 2 3
direct
0.002 0.002 0.240
0.331 0.331 0.423
0.338 0.338 0.914
0.662 0.662 0.086
0.669 0.669 0.577
0.998 0.998 0.760
0.500 0.500 0.000
0.167 0.167 0.334
0.833 0.833 0.666
0.168 0.168 0.833
0.500 0.500 0.500
0.832 0.832 0.167
```



Entry 3:
# Ba2RuSe

Crystalline Ba2RuSe at its relaxed geometry (GGA-PBE, the Alexandria database).

Crystal system: monoclinic
Total moment, μB/f.u.: 0.00
Energy relative to the elements, uncorrected, eV per atom: -0.494
Uncorrected energy, eV per cell: -37.2

The structure in POSCAR format:
```
Ba2RuSe
1.0
10.875 0.000 0.000
0.000 4.781 0.000
-0.009 0.000 4.741
Ba Ru Se
4 2 2
direct
0.000 0.000 0.000
0.211 0.500 0.502
0.500 0.500 0.000
0.711 0.000 0.502
0.323 0.000 0.998
0.823 0.500 0.998
0.407 0.000 0.498
0.907 0.500 0.498
```



Entry 4:
# SrZn4CuPd2

Crystalline SrZn4CuPd2 at its relaxed geometry (GGA-PBE, the Alexandria database).

Crystal system: trigonal
Total moment, μB/f.u.: 0.00
Energy of formation from the pure elements, eV per formula unit: -2.63
Uncorrected energy, eV per cell: -23.9

The structure in POSCAR format:
```
SrZn4CuPd2
1.0
2.163 1.249 9.052
-2.163 1.249 9.052
0.000 -2.497 9.052
Sr Zn Cu Pd
1 4 1 2
direct
0.000 0.000 0.000
0.134 0.134 0.134
0.409 0.409 0.409
0.591 0.591 0.591
0.866 0.866 0.866
0.500 0.500 0.500
0.233 0.233 0.233
0.767 0.767 0.767
```



Entry 5:
# Y3Sb

Crystalline Y3Sb at its relaxed geometry (GGA-PBE, the Alexandria database).

Crystal system: cubic
Total moment, μB/f.u.: 0.00
Energy relative to the elements, uncorrected, eV per atom: -0.469
Uncorrected energy, eV per cell: -25.4

The structure in POSCAR format:
```
Y3Sb
1.0
4.802 0.000 0.000
0.000 4.802 0.000
0.000 0.000 4.802
Y Sb
3 1
direct
0.000 0.000 0.500
0.000 0.500 0.000
0.500 0.000 0.000
0.500 0.500 0.500
```



Entry 6:
# LiLaPmHg

Crystalline LiLaPmHg at its relaxed geometry (GGA-PBE, the Alexandria database).

Crystal system: cubic
Total moment, μB/f.u.: 0.52
Energy of formation from the pure elements, eV per formula unit: -0.83
Uncorrected energy, eV per cell: -50.9

The structure in POSCAR format:
```
LiLaPmHg
1.0
7.681 0.000 0.000
0.000 7.681 0.000
0.000 0.000 7.681
Li La Pm Hg
4 4 4 4
direct
0.000 0.000 0.000
0.000 0.500 0.500
0.500 0.000 0.500
0.500 0.500 0.000
0.250 0.250 0.750
0.250 0.750 0.250
0.750 0.250 0.250
0.750 0.750 0.750
0.250 0.250 0.250
0.250 0.750 0.750
0.750 0.250 0.750
0.750 0.750 0.250
0.000 0.000 0.500
0.000 0.500 0.000
0.500 0.000 0.000
0.500 0.500 0.500
```



no.,density of states at the Fermi level (states/eV/cell)
1,7.973
2,3.707
3,2.535
4,4.455
5,5.442
6,21.120